Cr2RuRh8 | PBE | relaxed

Properties
Energy relative to the lowest polymorph listed for this composition = 0.0 kJ/mol of formula units
N(E_F) = 14.2 states/eV/cell
Calculated density = 10.94 Mg/m³
Crystal system = orthorhombic

```
11
Lattice="-1.985 3.275 6.003 1.985 -3.275 6.003 1.985 3.275 -6.003" Properties=species:S:1:pos:R:3 pbc="T T T"
Cr 0.000 0.000 2.402
Cr 0.000 0.000 9.603
Ru 0.000 0.000 6.003
Rh 1.985 1.376 -1.821
Rh 0.000 1.331 0.000
Rh 1.985 0.000 4.117
Rh 1.985 1.376 1.821
Rh 0.000 1.899 4.182
Rh 0.000 3.275 1.886
Rh 0.000 5.219 0.000
Rh 0.000 1.899 7.823
```


La5Pr2Pt5 | PBE | relaxed

Properties
N(E_F) = 7.6 states/eV/cell
Calculated density = 9.12 Mg/m³
DFT total energy = -76.32 eV per cell
Crystal system = monoclinic

```
12
Lattice="7.007 -2.064 0.000 7.007 2.064 0.000 -3.050 0.000 12.285" Properties=species:S:1:pos:R:3 pbc="T T T"
La 0.000 0.000 0.000
La 0.479 0.000 6.755
La 0.754 0.000 10.529
La 10.209 0.000 1.755
La 10.484 0.000 5.530
Pr 4.235 0.000 8.804
Pr 6.728 0.000 3.481
Pt 1.815 0.000 3.899
Pt 5.136 0.000 0.933
Pt 5.482 0.000 6.142
Pt 5.827 0.000 11.352
Pt 9.149 0.000 8.386
```


Na3GeCl | PBE | relaxed

Properties
Raw formation energy = -450.2 meV per atom
Energy relative to the lowest polymorph listed for this composition = 0.0 kJ/mol of formula units
N(E_F) = 2.6 states/eV/cell
Calculated density = 2.08 Mg/m³
Crystal system = cubic

```
5
Lattice="5.212 0.000 0.000 0.000 5.212 0.000 0.000 0.000 5.212" Properties=species:S:1:pos:R:3 pbc="T T T"
Na 0.000 0.000 2.606
Na 0.000 2.606 0.000
Na 2.606 0.000 0.000
Ge 2.606 2.606 2.606
Cl 0.000 0.000 0.000
```


LiFePt2 | PBE | relaxed

Properties
N(E_F) = 2.5 states/eV/cell
Calculated density = 13.28 Mg/m³
DFT total energy = -23.90 eV per cell
Crystal system = trigonal

```
4
Lattice="1.370 0.791 8.713 -1.370 0.791 8.713 0.000 -1.582 8.713" Properties=species:S:1:pos:R:3 pbc="T T T"
Li 0.000 0.000 0.000
Fe 0.000 0.000 13.069
Pt 0.000 0.000 6.520
Pt 0.000 0.000 19.618
```


PuTa4Te8 | PBE | relaxed

Properties
Raw formation energy = -300.2 meV per atom
N(E_F) = 17.6 states/eV/cell
Calculated density = 8.66 Mg/m³
Crystal system = trigonal

```
13
Lattice="3.801 2.194 7.618 -3.801 2.194 7.618 0.000 -4.389 7.618" Properties=species:S:1:pos:R:3 pbc="T T T"
Pu 0.000 0.000 0.000
Ta -3.801 0.000 11.427
Ta -1.900 1.097 3.809
Ta 1.900 1.097 3.809
Ta 0.000 0.000 11.427
Te 0.000 0.000 5.590
Te -1.843 -1.064 13.201
Te 0.000 -2.128 9.653
Te -1.843 1.064 9.653
Te 1.843 -1.064 13.201
Te 0.000 2.128 13.201
Te 1.843 1.064 9.653
Te 0.000 0.000 17.264
```


LaThCuGe | PBE | relaxed

Properties
N(E_F) = 4.1 states/eV/cell
Calculated density = 8.57 Mg/m³
DFT total energy = -22.51 eV per cell
Crystal system = cubic

```
4
Lattice="0.000 3.663 3.663 3.663 0.000 3.663 3.663 3.663 0.000" Properties=species:S:1:pos:R:3 pbc="T T T"
La 0.000 0.000 0.000
Th 3.663 3.663 3.663
Cu 1.831 1.831 1.831
Ge 5.494 5.494 5.494
```


Tl7Pb2Au2 | PBE | relaxed

Properties
N(E_F) = 4.1 states/eV/cell
Calculated density = 11.05 Mg/m³
DFT total energy = -30.40 eV per cell
Crystal system = monoclinic

```
11
Lattice="6.027 -4.781 0.000 6.027 4.781 0.000 -1.844 0.000 5.836" Properties=species:S:1:pos:R:3 pbc="T T T"
Tl 0.000 0.000 0.000
Tl 2.425 1.933 4.763
Tl 3.991 0.000 1.606
Tl 7.785 1.933 1.073
Tl 2.425 -1.933 4.763
Tl 6.218 0.000 4.230
Tl 7.785 -1.933 1.073
Pb 5.105 2.852 2.918
Pb 5.105 -2.852 2.918
Au 1.321 0.000 2.785
Au 8.888 0.000 3.051
```